First-principles (PBE) data for MnFe2Br after structural relaxation, as listed in Alexandria via LeMat-Bulk.

a b c (Å): 3.1428 3.1428 22.8096
angles (deg): 90.00 90.00 120.00
Space group R3m (No. 160, hexagonal axes)
One atom of each set of equivalent atoms:
Mn: 0.0000 0.0000 0.0000
Fe: 0.0000 0.0000 0.4868
Fe: 0.0000 0.0000 0.7496
Br: 0.0000 0.0000 0.2430

ρ in Mg/m³: 6.3
Offset from the most stable computed form in eV/f.u.: 0.44
Uncorrected formation energy in meV per atom: 462